VASP calculation (PBE) on an optimized crystal structure of YCdB.

a = 5.7676 Å, b = 3.3296 Å, c = 11.6975 Å
α = 90.00°, β = 90.05°, γ = 90.00°
Positions (direct):
Y  0.0004  0.0000  0.1594
Y  0.9996  0.0000  0.8406
Y  0.5004  0.5000  0.1594
Y  0.4996  0.5000  0.8406
Cd  0.1659  0.5000  0.6064
Cd  0.3341  0.0000  0.3936
Cd  0.6659  0.0000  0.6064
Cd  0.8341  0.5000  0.3936
B  0.1668  0.5000  0.9994
B  0.3332  0.0000  0.0006
B  0.6668  0.0000  0.9994
B  0.8332  0.5000  0.0006

Summary:
Formation energy from the elements in eV per formula unit: -1.048
Density of states at the Fermi level in states/eV/f.u.: 2.2
Magnetic moment in μB/atom: 0.000
ΔE to the lowest computed polymorph in kJ/mol of atoms: 4.5
E_tot in eV per atom: -5.035
Space-group type: No. 12